No. 1
Density functional theory data (PBE) for AlTc4Cl after structural relaxation.

Cell and atoms, written as POSCAR:
```
AlTc4Cl
1.0
2.105 2.403 4.085
-2.938 3.005 3.039
-1.181 -1.542 4.808
Tc Cl Al
4 1 1
direct
0.374 0.374 0.374
0.878 0.374 0.374
0.374 0.878 0.374
0.374 0.374 0.878
0.000 0.000 0.000
0.750 0.750 0.750
```

## Properties
Space group: F-43m (216)
Total DFT energy (no corrections): -7.063 eV per atom

***

No. 2
Density functional theory data (PBE) for AlTcCl2 after structural relaxation.

Cell and atoms, written as POSCAR:
```
AlTcCl2
1.0
4.150 0.000 0.000
0.000 4.150 0.000
2.075 2.075 8.213
Al Cl Tc
2 4 2
direct
0.250 0.750 0.500
0.500 0.500 0.000
0.875 0.889 0.750
0.375 0.361 0.750
0.111 0.625 0.250
0.639 0.125 0.250
0.750 0.250 0.500
0.000 0.000 0.000
```

## Properties
Space group: I-42d (122)
Relative energy among the computed polymorphs: 739.1 meV per atom

***

No. 3
Density functional theory data (PBE) for AlTc2Cl after structural relaxation.

Cell and atoms, written as POSCAR:
```
AlTc2Cl
1.0
-3.611 1.821 0.579
-1.162 -1.649 -2.057
-2.166 -4.919 1.962
Tc Al Cl
2 1 1
direct
0.000 0.870 0.002
0.500 0.238 0.235
0.000 0.545 0.482
0.500 0.846 0.781
```

## Properties
Space group: Pm (6)
Relative energy among the computed polymorphs: 370.4 meV per atom

***

No. 4
Density functional theory data (PBE) for AlTc2Cl after structural relaxation.

Cell and atoms, written as POSCAR:
```
AlTc2Cl
1.0
4.594 0.011 0.031
-2.144 4.658 -0.006
0.305 0.985 2.876
Cl Al Tc
1 1 2
direct
0.500 0.500 0.000
0.000 0.500 0.500
0.000 0.000 0.000
0.500 0.000 0.500
```

## Properties
Space group: C2/m (12)
Relative energy among the computed polymorphs: 584.5 meV per atom

***

No. 5
Density functional theory data (PBE) for AlTc2Cl after structural relaxation.

Cell and atoms, written as POSCAR:
```
AlTc2Cl
1.0
3.194 0.000 0.000
0.000 3.383 0.055
0.000 -0.112 6.656
Tc Al Cl
2 1 1
direct
0.000 0.750 0.077
0.000 0.750 0.423
0.500 0.250 0.250
0.500 0.750 0.750
```

## Properties
Space group: Pmmm (47)
Relative energy among the computed polymorphs: 212.9 meV per atom

***

No. 6
Density functional theory data (PBE) for AlTcCl2 after structural relaxation.

Cell and atoms, written as POSCAR:
```
AlTcCl2
1.0
-3.030 0.881 -0.028
0.981 -2.971 0.411
0.310 1.350 9.027
Al Cl Tc
1 2 1
direct
0.500 0.500 0.750
0.000 0.000 0.041
0.000 0.000 0.459
0.500 0.500 0.250
```

## Properties
Space group: Cmmm (65)
Relative energy among the computed polymorphs: 583.0 meV per atom

***

No. 7
Density functional theory data (PBE) for AlTcCl2 after structural relaxation.

Cell and atoms, written as POSCAR:
```
AlTcCl2
1.0
8.079 -3.852 3.266
8.931 -0.993 3.165
7.471 -2.031 5.553
Cl Al Tc
2 1 1
direct
0.081 0.081 0.081
0.919 0.919 0.919
0.500 0.500 0.500
0.000 0.000 0.000
```

## Properties
Space group: R-3m (166)
Relative energy among the computed polymorphs: 553.4 meV per atom

***

No. 8
Density functional theory data (PBE) for AlTc2Cl after structural relaxation.

Cell and atoms, written as POSCAR:
```
AlTc2Cl
1.0
9.461 0.148 0.087
8.970 3.011 0.087
8.970 1.537 2.590
Tc Cl Al
2 1 1
direct
0.243 0.243 0.243
0.981 0.981 0.981
0.774 0.774 0.774
0.503 0.503 0.503
```

## Properties
Space group: R3m (160)
Relative energy among the computed polymorphs: 12.7 meV per atom

***

No. 9
Density functional theory data (PBE) for AlTcCl2 after structural relaxation.

Cell and atoms, written as POSCAR:
```
AlTcCl2
1.0
-2.117 -2.038 -0.899
1.824 -2.767 1.981
-3.691 0.923 6.603
Cl Tc Al
2 1 1
direct
0.500 0.387 0.341
0.000 0.032 0.895
0.000 0.307 0.579
0.500 0.774 0.685
```

## Properties
Space group: Pm (6)
Relative energy among the computed polymorphs: 0.0 meV per atom

***

No. 10
Density functional theory data (PBE) for AlTcCl2 after structural relaxation.

Cell and atoms, written as POSCAR:
```
AlTcCl2
1.0
4.706 0.000 0.000
2.353 4.076 0.000
2.353 1.359 3.843
Tc Cl Al
1 2 1
direct
0.750 0.750 0.750
0.250 0.250 0.250
0.000 0.000 0.000
0.500 0.500 0.500
```

## Properties
Space group: F-43m (216)
Relative energy among the computed polymorphs: 1047.8 meV per atom

***

No. 11
Density functional theory data (PBE) for AlTcCl2 after structural relaxation.

Cell and atoms, written as POSCAR:
```
AlTcCl2
1.0
-0.373 0.853 -2.867
3.904 -3.491 -1.547
-2.978 -3.095 -0.533
Cl Al Tc
2 1 1
direct
0.000 0.000 0.000
0.500 0.500 0.000
0.000 0.500 0.500
0.500 0.000 0.500
```

## Properties
Space group: Pmmm (47)
Relative energy among the computed polymorphs: 696.6 meV per atom

***

No. 12
Density functional theory data (PBE) for AlTcCl2 after structural relaxation.

Cell and atoms, written as POSCAR:
```
AlTcCl2
1.0
4.046 0.000 0.000
0.000 4.501 0.000
0.000 0.000 4.501
Al Tc Cl
1 1 2
direct
0.500 0.000 0.500
0.500 0.500 0.000
0.000 0.500 0.500
0.000 0.000 0.000
```

## Properties
Space group: P4/mmm (123)
Relative energy among the computed polymorphs: 972.1 meV per atom